(1)
The following is a GGA-PBE calculation of an optimized crystal structure of Ca5Ge2N6, from Alexandria via LeMat-Bulk.

Computed properties:
Crystal system: orthorhombic
Total moment (μB/f.u.): 0.00
Energy relative to the elements, uncorrected (kJ/mol of atoms): -64
Offset from the most stable computed form (eV per atom): 0.092

Structure (extended XYZ):
```
26
Lattice="-0.084 3.295 -0.298 -6.959 0.425 6.663 8.102 0.965 8.400" Properties=species:S:1:pos:R:3 pbc="T T T"
Ca 1.669 2.273 6.292
Ca -0.610 2.412 8.472
Ca 2.240 2.968 13.822
Ca -1.180 1.717 0.942
Ca -1.809 2.121 5.587
Ca 2.869 2.564 9.178
Ca 1.666 1.908 2.251
Ca -0.606 2.777 12.514
Ca -3.521 1.860 3.183
Ca 4.009 2.130 4.051
Ge 0.277 0.403 4.387
Ge 0.866 0.987 10.675
Ge -3.817 0.543 7.081
Ge 4.960 0.847 7.982
N 2.183 0.442 4.274
N -1.039 0.948 10.788
N -3.628 0.377 5.188
N 4.771 1.013 9.874
N -0.549 1.955 3.397
N 1.608 2.730 11.368
N -3.047 2.284 7.746
N 4.106 2.400 7.019
N -0.116 0.558 6.214
N 1.259 0.832 8.849
N -5.664 0.525 7.400
N 6.808 0.865 7.662
```

---

(2)
The following is a GGA-PBE calculation of an optimized crystal structure of Ca7Ge2N2, from Alexandria via LeMat-Bulk.

Computed properties:
Crystal system: orthorhombic
Total moment (μB/f.u.): 0.00
Energy relative to the elements, uncorrected (kJ/mol of atoms): -49

Structure (extended XYZ):
```
11
Lattice="-4.936 -4.162 -0.542 2.852 -2.710 -5.164 4.548 -2.546 3.848" Properties=species:S:1:pos:R:3 pbc="T T T"
Ca 2.954 -1.920 0.692
Ca -0.296 -4.145 -4.202
Ca -0.490 -7.498 -2.549
Ca 2.761 -5.274 2.344
Ca 0.000 0.000 0.000
Ca 2.015 -5.452 -2.344
Ca 0.450 -3.967 0.486
Ge 1.107 -6.880 0.141
Ge 1.358 -2.539 -1.999
N -2.080 -3.676 0.780
N 4.544 -5.743 -2.638
```

---

(3)
The following is a GGA-PBE calculation of an optimized crystal structure of Ca5Ge2N6, from Alexandria via LeMat-Bulk.

Computed properties:
Crystal system: monoclinic
Total moment (μB/f.u.): 0.00
Energy relative to the elements, uncorrected (kJ/mol of atoms): -73
Offset from the most stable computed form (eV per atom): 0.000

Structure (extended XYZ):
```
26
Lattice="5.961 -0.004 -0.001 -3.047 5.204 0.000 -1.768 -1.035 12.954" Properties=species:S:1:pos:R:3 pbc="T T T"
Ca -1.602 4.292 0.088
Ca 2.117 2.976 6.388
Ca 2.748 -0.127 12.865
Ca -0.972 1.189 6.565
Ca 0.348 -0.426 9.260
Ca 0.463 3.135 10.170
Ca 0.797 4.591 3.693
Ca 0.682 1.030 2.783
Ca -2.482 1.197 9.715
Ca -2.333 2.971 3.238
Ge -0.448 4.127 7.521
Ge -0.071 0.854 11.908
Ge 1.594 0.038 5.432
Ge 1.216 3.311 1.045
N 1.232 4.523 8.154
N -1.239 -0.418 11.276
N -0.087 -0.358 4.799
N 2.384 4.583 1.677
N -1.407 2.869 8.512
N 1.495 1.074 10.917
N 2.552 1.296 4.441
N -0.350 3.091 2.036
N 1.534 0.583 7.286
N -0.998 2.595 12.144
N -0.389 3.581 5.667
N 2.143 1.570 0.809
```

---

(4)
The following is a GGA-PBE calculation of an optimized crystal structure of Ca2GeN, from Alexandria via LeMat-Bulk.

Computed properties:
Crystal system: trigonal
Total moment (μB/f.u.): 0.00
Energy relative to the elements, uncorrected (kJ/mol of atoms): -41

Structure (extended XYZ):
```
4
Lattice="-2.889 0.885 1.775 -2.661 -2.266 0.258 1.637 -3.722 7.977" Properties=species:S:1:pos:R:3 pbc="T T T"
Ge 0.000 0.000 0.000
Ca 0.401 -2.566 5.389
Ca -4.313 -2.537 4.621
N -1.956 -2.552 5.005
```

---

Please write out number 1 again, unchanged.
The following is a GGA-PBE calculation of an optimized crystal structure of Ca5Ge2N6, from Alexandria via LeMat-Bulk.

Computed properties:
Crystal system: orthorhombic
Total moment (μB/f.u.): 0.00
Energy relative to the elements, uncorrected (kJ/mol of atoms): -64
Offset from the most stable computed form (eV per atom): 0.092

Structure (extended XYZ):
```
26
Lattice="-0.084 3.295 -0.298 -6.959 0.425 6.663 8.102 0.965 8.400" Properties=species:S:1:pos:R:3 pbc="T T T"
Ca 1.669 2.273 6.292
Ca -0.610 2.412 8.472
Ca 2.240 2.968 13.822
Ca -1.180 1.717 0.942
Ca -1.809 2.121 5.587
Ca 2.869 2.564 9.178
Ca 1.666 1.908 2.251
Ca -0.606 2.777 12.514
Ca -3.521 1.860 3.183
Ca 4.009 2.130 4.051
Ge 0.277 0.403 4.387
Ge 0.866 0.987 10.675
Ge -3.817 0.543 7.081
Ge 4.960 0.847 7.982
N 2.183 0.442 4.274
N -1.039 0.948 10.788
N -3.628 0.377 5.188
N 4.771 1.013 9.874
N -0.549 1.955 3.397
N 1.608 2.730 11.368
N -3.047 2.284 7.746
N 4.106 2.400 7.019
N -0.116 0.558 6.214
N 1.259 0.832 8.849
N -5.664 0.525 7.400
N 6.808 0.865 7.662
```

---

What did the second record say?
The following is a GGA-PBE calculation of an optimized crystal structure of Ca7Ge2N2, from Alexandria via LeMat-Bulk.

Computed properties:
Crystal system: orthorhombic
Total moment (μB/f.u.): 0.00
Energy relative to the elements, uncorrected (kJ/mol of atoms): -49

Structure (extended XYZ):
```
11
Lattice="-4.936 -4.162 -0.542 2.852 -2.710 -5.164 4.548 -2.546 3.848" Properties=species:S:1:pos:R:3 pbc="T T T"
Ca 2.954 -1.920 0.692
Ca -0.296 -4.145 -4.202
Ca -0.490 -7.498 -2.549
Ca 2.761 -5.274 2.344
Ca 0.000 0.000 0.000
Ca 2.015 -5.452 -2.344
Ca 0.450 -3.967 0.486
Ge 1.107 -6.880 0.141
Ge 1.358 -2.539 -1.999
N -2.080 -3.676 0.780
N 4.544 -5.743 -2.638
```

---

Question: What is the formula in the second record?
Answer: Ca7Ge2N2

---

Question: What is the formula in the first record?
Answer: Ca5Ge2N6